A plane-wave DFT calculation with PBE was carried out for crystalline Pu2CdFe at its relaxed geometry.

* offset from the most stable computed form: 0.000 eV/atom
* symmetry: P4/mmm
* M_tot: 9.41 μB/cell
* formation enthalpy at 0 K: -13 meV/atom
* mass density: 12.58 g/cm3
* crystal system: tetragonal
* DOS(E_F): 11.2 states/eV/f.u.
* E: -9.52 eV/atom

The structure in POSCAR format:
```
Pu2CdFe
1.0
-2.334 0.152 -2.150
-2.154 -0.058 2.334
0.195 8.572 0.395
Cd Fe Pu
1 1 2
Direct
0.500 0.500 0.500 Cd
0.500 0.500 0.000 Fe
0.000 0.000 0.797 Pu
0.000 0.000 0.203 Pu
```

---

A plane-wave DFT calculation with PBE was carried out for crystalline PuCdFe at its relaxed geometry.

* symmetry: C2/m
* M_tot: 6.81 μB/cell
* formation enthalpy at 0 K: 312 meV/atom
* mass density: 11.26 g/cm3
* crystal system: monoclinic
* DOS(E_F): 4.4 states/eV/f.u.
* E: -7.59 eV/atom

The structure in POSCAR format:
```
PuCdFe
1.0
3.156 0.000 0.000
-1.578 4.311 -0.096
0.000 -2.472 8.987
Fe Cd Pu
2 2 2
Direct
0.736 0.473 0.767 Fe
0.264 0.527 0.233 Fe
0.390 0.780 0.587 Cd
0.610 0.220 0.413 Cd
0.082 0.165 0.889 Pu
0.918 0.835 0.111 Pu
```

---

A plane-wave DFT calculation with PBE was carried out for crystalline RbCd2Fe at its relaxed geometry.

* offset from the most stable computed form: 0.000 eV/atom
* symmetry: I-42d
* M_tot: 5.87 μB/cell
* formation enthalpy at 0 K: 566 meV/atom
* mass density: 4.08 g/cm3
* crystal system: tetragonal
* DOS(E_F): 2.1 states/eV/f.u.
* E: -2.25 eV/atom

The structure in POSCAR format:
```
RbCd2Fe
1.0
-2.819 5.053 0.317
-1.502 -0.488 -5.576
-9.559 -1.993 -0.262
Fe Cd Rb
2 4 2
Direct
0.500 0.500 0.000 Fe
0.250 0.750 0.500 Fe
0.875 0.629 0.750 Cd
0.379 0.125 0.250 Cd
0.375 0.621 0.750 Cd
0.371 0.625 0.250 Cd
0.750 0.250 0.500 Rb
0.000 0.000 0.000 Rb
```

---

A plane-wave DFT calculation with PBE was carried out for crystalline RbCdFe2 at its relaxed geometry.

* symmetry: I4_1/amd
* M_tot: 10.61 μB/cell
* formation enthalpy at 0 K: 971 meV/atom
* mass density: 4.54 g/cm3
* crystal system: tetragonal
* DOS(E_F): 6.3 states/eV/f.u.
* E: -3.73 eV/atom

The structure in POSCAR format:
```
RbCdFe2
1.0
-0.638 1.719 4.468
4.188 -1.984 1.361
6.443 8.026 0.441
Fe Rb Cd
4 2 2
Direct
0.875 0.125 0.250 Fe
0.375 0.125 0.750 Fe
0.875 0.625 0.250 Fe
0.875 0.125 0.750 Fe
0.250 0.750 0.500 Rb
0.500 0.500 0.000 Rb
0.750 0.250 0.500 Cd
0.000 0.000 0.000 Cd
```

---

A plane-wave DFT calculation with PBE was carried out for crystalline Rb3CdFe at its relaxed geometry.

* offset from the most stable computed form: 0.000 eV/atom
* symmetry: Pm-3m
* M_tot: 2.73 μB/cell
* formation enthalpy at 0 K: 790 meV/atom
* mass density: 2.37 g/cm3
* crystal system: cubic
* DOS(E_F): 17.2 states/eV/f.u.
* E: -1.67 eV/atom

The structure in POSCAR format:
```
Rb3CdFe
1.0
6.672 0.000 0.000
0.000 6.672 0.000
0.000 0.000 6.672
Rb Fe Cd
3 1 1
Direct
0.000 0.000 0.500 Rb
0.500 0.000 0.000 Rb
0.000 0.500 0.000 Rb
0.000 0.000 0.000 Fe
0.500 0.500 0.500 Cd
```

---

A plane-wave DFT calculation with PBE was carried out for crystalline RbCd2Fe at its relaxed geometry.

* offset from the most stable computed form: 0.147 eV/atom
* symmetry: Fm-3m
* M_tot: 3.03 μB/cell
* formation enthalpy at 0 K: 713 meV/atom
* mass density: 5.56 g/cm3
* crystal system: cubic
* DOS(E_F): 2.8 states/eV/f.u.
* E: -2.10 eV/atom

The structure in POSCAR format:
```
RbCd2Fe
1.0
0.000 3.796 3.796
3.796 0.000 3.796
3.796 3.796 0.000
Rb Cd Fe
1 2 1
Direct
0.500 0.500 0.500 Rb
0.250 0.250 0.250 Cd
0.750 0.750 0.750 Cd
0.000 0.000 0.000 Fe
```

---

A plane-wave DFT calculation with PBE was carried out for crystalline RbCd3Fe at its relaxed geometry.

* symmetry: Pm-3m
* M_tot: 1.96 μB/cell
* formation enthalpy at 0 K: 280 meV/atom
* mass density: 5.47 g/cm3
* crystal system: cubic
* DOS(E_F): 6.3 states/eV/f.u.
* E: -2.16 eV/atom

The structure in POSCAR format:
```
RbCd3Fe
1.0
5.257 0.000 0.000
0.000 5.257 0.000
0.000 0.000 5.257
Rb Fe Cd
1 1 3
Direct
0.500 0.500 0.500 Rb
0.000 0.000 0.000 Fe
0.000 0.500 0.000 Cd
0.500 0.000 0.000 Cd
0.000 0.000 0.500 Cd
```

---

A plane-wave DFT calculation with PBE was carried out for crystalline RbCdFe3 at its relaxed geometry.

* offset from the most stable computed form: 0.000 eV/atom
* symmetry: Pm-3m
* M_tot: 9.46 μB/cell
* formation enthalpy at 0 K: 1497 meV/atom
* mass density: 4.59 g/cm3
* crystal system: cubic
* DOS(E_F): 13.2 states/eV/f.u.
* E: -3.96 eV/atom

The structure in POSCAR format:
```
RbCdFe3
1.0
-1.043 4.516 2.116
0.518 -2.052 4.634
4.960 1.164 -0.039
Fe Cd Rb
3 1 1
Direct
0.500 0.000 0.000 Fe
0.000 0.000 0.500 Fe
0.000 0.500 0.000 Fe
0.000 0.000 0.000 Cd
0.500 0.500 0.500 Rb
```

---

A plane-wave DFT calculation with PBE was carried out for crystalline Rb4CdFe2 at its relaxed geometry.

* symmetry: I4/mmm
* M_tot: 5.72 μB/cell
* formation enthalpy at 0 K: 783 meV/atom
* mass density: 2.29 g/cm3
* crystal system: tetragonal
* DOS(E_F): 7.2 states/eV/f.u.
* E: -2.32 eV/atom

The structure in POSCAR format:
```
Rb4CdFe2
1.0
7.007 0.000 0.000
0.000 7.007 0.000
3.504 3.504 8.343
Rb Cd Fe
4 1 2
Direct
0.500 0.000 0.000 Rb
0.224 0.224 0.552 Rb
0.776 0.776 0.448 Rb
0.000 0.500 0.000 Rb
0.000 0.000 0.000 Cd
0.437 0.437 0.125 Fe
0.563 0.563 0.875 Fe
```

---

A plane-wave DFT calculation with PBE was carried out for crystalline RbCdFe3 at its relaxed geometry.

* offset from the most stable computed form: 0.904 eV/atom
* symmetry: Pm-3m
* M_tot: 7.55 μB/cell
* formation enthalpy at 0 K: 2401 meV/atom
* mass density: 5.82 g/cm3
* crystal system: cubic
* DOS(E_F): 8.0 states/eV/f.u.
* E: -3.05 eV/atom

The structure in POSCAR format:
```
RbCdFe3
1.0
4.707 0.000 0.000
0.000 4.707 0.000
0.000 0.000 4.707
Fe Cd Rb
3 1 1
Direct
0.000 0.000 0.500 Fe
0.500 0.000 0.000 Fe
0.000 0.500 0.000 Fe
0.500 0.500 0.500 Cd
0.000 0.000 0.000 Rb
```

---

A plane-wave DFT calculation with PBE was carried out for crystalline RbCdFeRe2 at its relaxed geometry.

* symmetry: P4/mmm
* M_tot: 8.90 μB/cell
* formation enthalpy at 0 K: 2932 meV/atom
* mass density: 6.90 g/cm3
* crystal system: tetragonal
* DOS(E_F): 10.1 states/eV/f.u.
* E: -4.12 eV/atom

The structure in POSCAR format:
```
RbCdFeRe2
1.0
5.126 0.000 0.000
0.000 5.735 0.000
0.000 0.000 5.126
Re Fe Cd Rb
2 1 1 1
Direct
0.000 0.000 0.500 Re
0.500 0.000 0.000 Re
0.500 0.500 0.500 Fe
0.000 0.000 0.000 Cd
0.000 0.500 0.000 Rb
```

---

A plane-wave DFT calculation with PBE was carried out for crystalline RbCdFeRh2 at its relaxed geometry.

* offset from the most stable computed form: 0.000 eV/atom
* symmetry: P4/mmm
* M_tot: 0.00 μB/cell
* formation enthalpy at 0 K: 745 meV/atom
* mass density: 7.04 g/cm3
* crystal system: tetragonal
* DOS(E_F): 4.0 states/eV/f.u.
* E: -4.26 eV/atom

The structure in POSCAR format:
```
RbCdFeRh2
1.0
-3.328 0.331 -3.150
-0.648 -5.093 0.149
-3.114 0.494 3.342
Rb Fe Rh Cd
1 1 2 1
Direct
0.500 0.500 0.500 Rb
0.000 0.000 0.000 Fe
0.500 0.000 0.000 Rh
0.000 0.000 0.500 Rh
0.000 0.500 0.000 Cd
```

---

A plane-wave DFT calculation with PBE was carried out for crystalline RbCdFeRh2 at its relaxed geometry.

* offset from the most stable computed form: 0.938 eV/atom
* symmetry: P4/mmm
* M_tot: 4.70 μB/cell
* formation enthalpy at 0 K: 1684 meV/atom
* mass density: 5.28 g/cm3
* crystal system: tetragonal
* DOS(E_F): 8.6 states/eV/f.u.
* E: -3.33 eV/atom

The structure in POSCAR format:
```
RbCdFeRh2
1.0
-4.864 1.331 0.297
-0.620 -3.287 4.572
1.246 3.893 2.968
Cd Fe Rh Rb
1 1 2 1
Direct
0.000 0.000 0.000 Cd
0.500 0.500 0.500 Fe
0.500 0.000 0.000 Rh
0.000 0.000 0.500 Rh
0.000 0.500 0.000 Rb
```

---

A plane-wave DFT calculation with PBE was carried out for crystalline Rb2CdFeS at its relaxed geometry.

* formation energy without anion corrections: 265 kJ/mol of formula units
* symmetry: P4/mmm
* M_tot: 3.29 μB/cell
* mass density: 2.95 g/cm3
* crystal system: tetragonal
* DOS(E_F): 4.9 states/eV/f.u.
* E: -2.54 eV/atom

The structure in POSCAR format:
```
Rb2CdFeS
1.0
6.424 0.000 0.000
0.000 5.056 0.000
0.000 0.000 6.424
Rb S Cd Fe
2 1 1 1
Direct
0.000 0.000 0.500 Rb
0.500 0.000 0.000 Rb
0.500 0.500 0.500 S
0.000 0.000 0.000 Cd
0.000 0.500 0.000 Fe
```

---

A plane-wave DFT calculation with PBE was carried out for crystalline RbCdFe2Te at its relaxed geometry.

* formation energy without anion corrections: 383 kJ/mol of formula units
* symmetry: P4/mmm
* M_tot: 5.02 μB/cell
* mass density: 4.38 g/cm3
* crystal system: tetragonal
* DOS(E_F): 9.2 states/eV/f.u.
* E: -3.60 eV/atom

The structure in POSCAR format:
```
RbCdFe2Te
1.0
4.946 0.000 0.000
0.000 6.772 0.000
0.000 0.000 4.946
Fe Te Rb Cd
2 1 1 1
Direct
0.500 0.000 0.000 Fe
0.000 0.000 0.500 Fe
0.000 0.000 0.000 Te
0.000 0.500 0.000 Rb
0.500 0.500 0.500 Cd
```

---

A plane-wave DFT calculation with PBE was carried out for crystalline Cd2FeRe at its relaxed geometry.

* offset from the most stable computed form: 1.050 eV/atom
* symmetry: I-42d
* M_tot: 1.04 μB/cell
* formation enthalpy at 0 K: 1295 meV/atom
* mass density: 10.93 g/cm3
* crystal system: tetragonal
* DOS(E_F): 6.2 states/eV/f.u.
* E: -4.39 eV/atom

The structure in POSCAR format:
```
Cd2FeRe
1.0
7.411 0.000 0.000
0.000 7.411 0.000
3.705 3.705 2.583
Re Cd Fe
2 4 2
Direct
0.750 0.250 0.500 Re
0.000 0.000 0.000 Re
0.875 0.851 0.750 Cd
0.375 0.399 0.750 Cd
0.149 0.625 0.250 Cd
0.601 0.125 0.250 Cd
0.500 0.500 0.000 Fe
0.250 0.750 0.500 Fe
```

---

A plane-wave DFT calculation with PBE was carried out for crystalline CdFeRe2 at its relaxed geometry.

* symmetry: Cmmm
* M_tot: 2.35 μB/cell
* formation enthalpy at 0 K: 656 meV/atom
* mass density: 14.61 g/cm3
* crystal system: orthorhombic
* DOS(E_F): 4.1 states/eV/f.u.
* E: -7.91 eV/atom

The structure in POSCAR format:
```
CdFeRe2
1.0
-1.379 -3.392 -3.483
3.758 -1.366 3.091
-1.786 -1.034 1.715
Cd Fe Re
1 1 2
Direct
0.500 0.000 0.500 Cd
0.000 0.500 0.500 Fe
0.000 0.000 0.000 Re
0.500 0.500 0.000 Re
```

---

A plane-wave DFT calculation with PBE was carried out for crystalline CdFeRe2 at its relaxed geometry.

* symmetry: Cm
* M_tot: 2.21 μB/cell
* formation enthalpy at 0 K: 498 meV/atom
* mass density: 14.46 g/cm3
* crystal system: monoclinic
* DOS(E_F): 3.4 states/eV/f.u.
* E: -8.07 eV/atom

The structure in POSCAR format:
```
CdFeRe2
1.0
-3.682 -3.037 0.172
-1.336 -4.582 0.178
-0.404 -0.595 4.873
Re Cd Fe
2 1 1
Direct
0.742 0.742 0.798 Re
0.994 0.994 0.988 Re
0.504 0.504 0.483 Cd
0.261 0.261 0.231 Fe
```

---

A plane-wave DFT calculation with PBE was carried out for crystalline CdFeRe2 at its relaxed geometry.

* symmetry: Imm2
* M_tot: 2.22 μB/cell
* formation enthalpy at 0 K: 559 meV/atom
* mass density: 14.67 g/cm3
* crystal system: orthorhombic
* DOS(E_F): 3.4 states/eV/f.u.
* E: -8.01 eV/atom

The structure in POSCAR format:
```
CdFeRe2
1.0
5.083 -0.001 -0.002
2.107 4.626 0.002
-3.114 -3.061 2.602
Re Fe Cd
2 1 1
Direct
0.766 0.266 0.500 Re
0.004 0.004 0.000 Re
0.239 0.739 0.500 Fe
0.492 0.492 0.000 Cd
```

---

A plane-wave DFT calculation with PBE was carried out for crystalline Cd2FeRe at its relaxed geometry.

* offset from the most stable computed form: 0.304 eV/atom
* symmetry: Cm
* M_tot: 2.49 μB/cell
* formation enthalpy at 0 K: 550 meV/atom
* mass density: 11.50 g/cm3
* crystal system: monoclinic
* DOS(E_F): 3.4 states/eV/f.u.
* E: -5.14 eV/atom

The structure in POSCAR format:
```
Cd2FeRe
1.0
4.925 0.021 0.106
4.104 2.722 0.106
0.911 0.277 5.083
Cd Re Fe
2 1 1
Direct
0.760 0.760 0.753 Cd
0.995 0.995 0.002 Cd
0.233 0.233 0.286 Re
0.512 0.512 0.460 Fe
```